Record 1
HfTa: optimized geometry, GGA-PBE.

Properties
VASP energy   -9.733 eV per atom
Space-group type   Fm-3m, No. 225
Formation energy from the elements   1170 meV per atom

POSCAR file:
```
HfTa
1.0
0.0000 2.8153 2.8153
2.8153 0.0000 2.8153
2.8153 2.8153 0.0000
Hf Ta
1 1
direct
0.0000 0.0000 0.0000 Hf
0.5000 0.5000 0.5000 Ta
```

---

Record 2
HfMgBIr: optimized geometry, GGA-PBE.

Properties
VASP energy   -6.687 eV per atom
Space-group type   F-43m, No. 216

POSCAR file:
```
HfMgBIr
1.0
0.0000 3.0651 3.0651
3.0651 0.0000 3.0651
3.0651 3.0651 0.0000
Hf Mg B Ir
1 1 1 1
direct
0.0000 0.0000 0.0000 Hf
0.7500 0.7500 0.7500 Mg
0.5000 0.5000 0.5000 B
0.2500 0.2500 0.2500 Ir
```

---

Record 3
KSm2CuNi: optimized geometry, GGA-PBE.

Properties
VASP energy   -4.023 eV per atom
Space-group type   Amm2, No. 38

POSCAR file:
```
KSm2CuNi
1.0
3.8436 0.0000 0.0000
0.0000 2.1597 8.6005
0.0000 -2.1597 8.6005
K Sm Cu Ni
1 2 1 1
direct
0.0000 0.0000 0.0000 K
0.5000 0.3314 0.3314 Sm
0.5000 0.6650 0.6650 Sm
0.0000 0.7935 0.7935 Cu
0.0000 0.2100 0.2100 Ni
```

---

Record 4
KLuSeO: optimized geometry, GGA-PBE.

Properties
VASP energy   -5.714 eV per atom
Space-group type   Pmc2_1, No. 26

POSCAR file:
```
KLuSeO
1.0
4.4216 0.0000 0.0000
0.0000 8.1466 0.0000
0.0000 0.0000 6.4803
K Lu Se O
2 2 2 2
direct
0.0000 0.2029 0.0000 K
0.0000 0.7971 0.5000 K
0.5000 0.3818 0.4217 Lu
0.5000 0.6182 0.9217 Lu
0.0000 0.2027 0.5075 Se
0.0000 0.7973 0.0075 Se
0.5000 0.4148 0.1069 O
0.5000 0.5852 0.6069 O
```

---

Record 5
La2Sn2Ir: optimized geometry, GGA-PBE.

Properties
VASP energy   -6.136 eV per atom
Space-group type   C2/m, No. 12

POSCAR file:
```
La2Sn2Ir
1.0
5.7605 -2.2980 0.0000
5.7605 2.2980 0.0000
-5.0789 0.0000 10.2911
La Sn Ir
4 4 2
direct
0.0012 0.0012 0.1690 La
0.1919 0.1919 0.6292 La
0.8081 0.8081 0.3708 La
0.9988 0.9988 0.8310 La
0.3384 0.3384 0.9520 Sn
0.4789 0.4789 0.6183 Sn
0.5211 0.5211 0.3817 Sn
0.6616 0.6616 0.0480 Sn
0.2765 0.2765 0.1739 Ir
0.7235 0.7235 0.8261 Ir
```

---

Record 6
Cs3Nb2AsSe11: optimized geometry, GGA-PBE.

Properties
VASP energy   -4.633 eV per atom
Space-group type   Cc, No. 9

POSCAR file:
```
Cs3Nb2AsSe11
1.0
7.7597 -7.1129 0.0000
7.7597 7.1129 0.0000
-1.2919 0.0000 10.2794
Cs Nb As Se
6 4 2 22
direct
0.0691 0.9309 0.5000 Cs
0.1732 0.3286 0.6677 Cs
0.3286 0.1732 0.1677 Cs
0.5310 0.6865 0.2586 Cs
0.6865 0.5310 0.7586 Cs
0.9309 0.0691 0.0000 Cs
0.0804 0.6792 0.0855 Nb
0.4282 0.9670 0.7710 Nb
0.6792 0.0804 0.5855 Nb
0.9670 0.4282 0.2710 Nb
0.2974 0.6339 0.8275 As
0.6339 0.2974 0.3275 As
0.0452 0.2208 0.3281 Se
0.0610 0.5793 0.4672 Se
0.0782 0.7183 0.8354 Se
0.1895 0.5379 0.2851 Se
0.1942 0.8587 0.1660 Se
0.2208 0.0452 0.8281 Se
0.2743 0.5060 0.0128 Se
0.3976 0.7851 0.5865 Se
0.4188 0.9960 0.5190 Se
0.4501 0.7788 0.9286 Se
0.5060 0.2743 0.5128 Se
0.5379 0.1895 0.7851 Se
0.5793 0.0610 0.9672 Se
0.7004 0.9001 0.7461 Se
0.7183 0.0782 0.3354 Se
0.7512 0.8400 0.5274 Se
0.7788 0.4501 0.4286 Se
0.7851 0.3976 0.0865 Se
0.8400 0.7512 0.0274 Se
0.8587 0.1942 0.6660 Se
0.9001 0.7004 0.2461 Se
0.9960 0.4188 0.0190 Se
```